First-principles (PBE-GGA) data for Li6Zn23 after structural relaxation, as listed in the Alexandria database.

The structure in POSCAR format:
```
Li6Zn23
1.0
-6.469 5.588 1.592
-0.235 4.349 7.526
1.574 8.550 0.131
Li Zn
6 23
Direct
0.779 0.221 0.221 Li
0.221 0.779 0.221 Li
0.221 0.221 0.779 Li
0.779 0.779 0.221 Li
0.221 0.779 0.779 Li
0.779 0.221 0.779 Li
0.622 0.622 0.622 Zn
0.841 0.477 0.841 Zn
0.500 0.500 0.500 Zn
0.622 0.133 0.622 Zn
0.841 0.841 0.841 Zn
0.159 0.159 0.159 Zn
0.477 0.841 0.841 Zn
0.378 0.378 0.867 Zn
0.133 0.622 0.622 Zn
0.500 0.000 0.500 Zn
0.378 0.378 0.378 Zn
0.622 0.622 0.133 Zn
0.159 0.523 0.159 Zn
0.378 0.867 0.378 Zn
0.841 0.841 0.477 Zn
0.000 0.000 0.500 Zn
0.000 0.500 0.500 Zn
0.500 0.000 0.000 Zn
0.523 0.159 0.159 Zn
0.867 0.378 0.378 Zn
0.159 0.159 0.523 Zn
0.000 0.500 0.000 Zn
0.500 0.500 0.000 Zn
```

Formation enthalpy at 0 K, eV/atom: -0.100

---

First-principles (PBE-GGA) data for AcTmH after structural relaxation, as listed in the Alexandria database.

The structure in POSCAR format:
```
AcTmH
1.0
-2.972 0.220 2.292
0.252 -2.808 -2.486
2.900 -3.355 4.084
H Ac Tm
1 1 1
Direct
0.333 0.667 0.634 H
0.000 0.000 0.927 Ac
0.667 0.333 0.440 Tm
```

Offset from the most stable computed form, meV per atom: 105

---

First-principles (PBE-GGA) data for HoSiI after structural relaxation, as listed in the Alexandria database.

The structure in POSCAR format:
```
HoSiI
1.0
4.073 -0.020 -0.566
-2.063 3.557 -0.030
-0.339 -0.128 12.267
I Ho Si
2 2 2
Direct
0.547 0.276 0.824 I
0.453 0.724 0.176 I
0.102 0.552 0.654 Ho
0.898 0.448 0.346 Ho
0.672 0.836 0.508 Si
0.328 0.164 0.492 Si
```

Formation energy from raw total energies, eV/f.u.: -3.01

---

no.,raw total energy (eV per atom),density of states at the Fermi level (states/eV per cell)
1,-1.506,6.89
2,-4.104,2.93
3,-4.853,1.19